Record 1
Material: Cd2PtRh
Method: DFT, PBEsol
State: relaxed

CIF file:
```
data_Cd2PtRh
_chemical_formula_sum 'Cd4 Pt2 Rh2'
_symmetry_space_group_name_H-M 'I m m 2'
_symmetry_Int_Tables_number 44
_cell_length_a 2.8937
_cell_length_b 4.7164
_cell_length_c 9.7696
_cell_angle_alpha 90.00
_cell_angle_beta 90.00
_cell_angle_gamma 90.00
loop_
_symmetry_equiv_pos_as_xyz
'x,y,z'
'-x,-y,z'
'-x,y,z'
'x,-y,z'
'x+1/2,y+1/2,z+1/2'
'-x+1/2,-y+1/2,z+1/2'
'-x+1/2,y+1/2,z+1/2'
'x+1/2,-y+1/2,z+1/2'
loop_
_atom_site_label
_atom_site_fract_x
_atom_site_fract_y
_atom_site_fract_z
Cd1 0.0000 0.0000 0.0000
Cd2 0.0000 0.5000 0.2257
Pt1 0.0000 0.0000 0.4754
Rh1 0.0000 0.5000 0.7460
```

Formation energy from the elements: -70 meV per atom
Energy: -4.4442 eV/atom
Fermi-level density of states: 6.6 states/eV/cell

Record 2
Material: Cd2PtRh
Method: DFT, PBEsol
State: relaxed

CIF file:
```
data_Cd2PtRh
_chemical_formula_sum 'Cd8 Pt4 Rh4'
_symmetry_space_group_name_H-M 'F m -3 m'
_symmetry_Int_Tables_number 225
_symmetry_space_group_name_Hall '-F 4 2 3'
_cell_length_a 6.3854
_cell_length_b 6.3854
_cell_length_c 6.3854
_cell_angle_alpha 90.00
_cell_angle_beta 90.00
_cell_angle_gamma 90.00
loop_
_atom_site_label
_atom_site_fract_x
_atom_site_fract_y
_atom_site_fract_z
Cd1 0.2500 0.2500 0.2500
Pt1 0.0000 0.0000 0.0000
Rh1 0.0000 0.0000 0.5000
```

Formation energy from the elements: -179 meV per atom
Energy: -4.5527 eV/atom
Fermi-level density of states: 6.2 states/eV/cell

Record 3
Material: CdPt2Rh
Method: DFT, PBEsol
State: relaxed

CIF file:
```
data_CdPt2Rh
_chemical_formula_sum 'Cd2 Pt4 Rh2'
_symmetry_space_group_name_H-M 'I -4 m 2'
_symmetry_Int_Tables_number 119
_symmetry_space_group_name_Hall 'I -4 -2'
_cell_length_a 3.9688
_cell_length_b 3.9688
_cell_length_c 7.8079
_cell_angle_alpha 90.00
_cell_angle_beta 90.00
_cell_angle_gamma 90.00
loop_
_atom_site_label
_atom_site_fract_x
_atom_site_fract_y
_atom_site_fract_z
Cd1 0.0000 0.0000 0.0000
Pt1 0.0000 0.0000 0.5000
Pt2 0.0000 0.5000 0.2500
Rh1 0.0000 0.5000 0.7500
```

Formation energy from the elements: -60 meV per atom
Energy: -5.8760 eV/atom
Fermi-level density of states: 11.0 states/eV/cell

Record 4
Material: CdPt4Rh
Method: DFT, PBEsol
State: relaxed

CIF file:
```
data_CdPt4Rh
_chemical_formula_sum 'Cd4 Pt16 Rh4'
_symmetry_space_group_name_H-M 'F -4 3 m'
_symmetry_Int_Tables_number 216
_symmetry_space_group_name_Hall 'F -4 2 3'
_cell_length_a 7.3346
_cell_length_b 7.3346
_cell_length_c 7.3346
_cell_angle_alpha 90.00
_cell_angle_beta 90.00
_cell_angle_gamma 90.00
loop_
_atom_site_label
_atom_site_fract_x
_atom_site_fract_y
_atom_site_fract_z
Cd1 0.0000 0.0000 0.0000
Pt1 0.1247 0.1247 0.6247
Rh1 0.2500 0.2500 0.2500
```

Formation energy from the elements: 157 meV per atom
Energy: -6.0412 eV/atom
Fermi-level density of states: 27.3 states/eV/cell

Record 5
Material: Cd2PtRh
Method: DFT, PBEsol
State: relaxed

CIF file:
```
data_Cd2PtRh
_chemical_formula_sum 'Cd2 Pt1 Rh1'
_symmetry_space_group_name_H-M 'P 4/m m m'
_symmetry_Int_Tables_number 123
_symmetry_space_group_name_Hall '-P 4 2'
_cell_length_a 4.4487
_cell_length_b 4.4487
_cell_length_c 3.2933
_cell_angle_alpha 90.00
_cell_angle_beta 90.00
_cell_angle_gamma 90.00
loop_
_atom_site_label
_atom_site_fract_x
_atom_site_fract_y
_atom_site_fract_z
Cd1 0.0000 0.5000 0.0000
Pt1 0.0000 0.0000 0.5000
Rh1 0.5000 0.5000 0.5000
```

Formation energy from the elements: -169 meV per atom
Energy: -4.5427 eV/atom
Fermi-level density of states: 1.3 states/eV/cell

Record 6
Material: Cd2PtRh
Method: DFT, PBEsol
State: relaxed

CIF file:
```
data_Cd2PtRh
_chemical_formula_sum 'Cd4 Pt2 Rh2'
_symmetry_space_group_name_H-M 'C 1 m 1'
_symmetry_Int_Tables_number 8
_cell_length_a 10.2606
_cell_length_b 2.8733
_cell_length_c 4.8341
_cell_angle_alpha 90.00
_cell_angle_beta 112.42
_cell_angle_gamma 90.00
loop_
_symmetry_equiv_pos_as_xyz
'x,y,z'
'x,-y,z'
'x+1/2,y+1/2,z'
'x+1/2,-y+1/2,z'
loop_
_atom_site_label
_atom_site_fract_x
_atom_site_fract_y
_atom_site_fract_z
Cd1 0.0000 0.0000 0.0000
Cd2 0.2254 0.0000 0.6002
Pt1 0.4725 0.0000 0.4854
Rh1 0.2494 0.5000 0.1084
```

Formation energy from the elements: -131 meV per atom
Energy: -4.5054 eV/atom
Fermi-level density of states: 7.8 states/eV/cell

Record 7
Material: Cd2PtRh
Method: DFT, PBEsol
State: relaxed

CIF file:
```
data_Cd2PtRh
_chemical_formula_sum 'Cd4 Pt2 Rh2'
_symmetry_space_group_name_H-M 'C m m m'
_symmetry_Int_Tables_number 65
_symmetry_space_group_name_Hall '-C 2 2'
_cell_length_a 5.9413
_cell_length_b 7.4090
_cell_length_c 2.9615
_cell_angle_alpha 90.00
_cell_angle_beta 90.00
_cell_angle_gamma 90.00
loop_
_atom_site_label
_atom_site_fract_x
_atom_site_fract_y
_atom_site_fract_z
Cd1 0.2500 0.2500 0.0000
Pt1 0.0000 0.0000 0.5000
Rh1 0.0000 0.5000 0.5000
```

Formation energy from the elements: -154 meV per atom
Energy: -4.5281 eV/atom
Fermi-level density of states: 5.4 states/eV/cell

Record 8
Material: CdPtRh2
Method: DFT, PBEsol
State: relaxed

CIF file:
```
data_CdPtRh2
_chemical_formula_sum 'Cd1 Pt1 Rh2'
_symmetry_space_group_name_H-M 'P 4 m m'
_symmetry_Int_Tables_number 99
_cell_length_a 2.7710
_cell_length_b 2.7710
_cell_length_c 7.8740
_cell_angle_alpha 90.00
_cell_angle_beta 90.00
_cell_angle_gamma 90.00
loop_
_symmetry_equiv_pos_as_xyz
'x,y,z'
'-y,x,z'
'-x,-y,z'
'y,-x,z'
'-x,y,z'
'y,x,z'
'x,-y,z'
'-y,-x,z'
loop_
_atom_site_label
_atom_site_fract_x
_atom_site_fract_y
_atom_site_fract_z
Cd1 0.0000 0.0000 0.0000
Pt1 0.5000 0.5000 0.2718
Rh1 0.0000 0.0000 0.5135
Rh2 0.5000 0.5000 0.7337
```

Formation energy from the elements: -58 meV per atom
Energy: -6.1670 eV/atom
Fermi-level density of states: 4.0 states/eV/cell

Record 9
Material: Cd2PtRh
Method: DFT, PBEsol
State: relaxed

CIF file:
```
data_Cd2PtRh
_chemical_formula_sum 'Cd2 Pt1 Rh1'
_symmetry_space_group_name_H-M 'P 4/m m m'
_symmetry_Int_Tables_number 123
_symmetry_space_group_name_Hall '-P 4 2'
_cell_length_a 2.9496
_cell_length_b 2.9496
_cell_length_c 7.4930
_cell_angle_alpha 90.00
_cell_angle_beta 90.00
_cell_angle_gamma 90.00
loop_
_atom_site_label
_atom_site_fract_x
_atom_site_fract_y
_atom_site_fract_z
Cd1 0.0000 0.0000 0.2448
Pt1 0.5000 0.5000 0.5000
Rh1 0.5000 0.5000 0.0000
```

Formation energy from the elements: -156 meV per atom
Energy: -4.5301 eV/atom
Fermi-level density of states: 2.4 states/eV/cell

Record 10
Material: Cd2PtRh
Method: DFT, PBEsol
State: relaxed

CIF file:
```
data_Cd2PtRh
_chemical_formula_sum 'Cd2 Pt1 Rh1'
_symmetry_space_group_name_H-M 'P 1 2/m 1'
_symmetry_Int_Tables_number 10
_cell_length_a 4.8258
_cell_length_b 2.8781
_cell_length_c 5.0038
_cell_angle_alpha 90.00
_cell_angle_beta 110.45
_cell_angle_gamma 90.00
loop_
_symmetry_equiv_pos_as_xyz
'x,y,z'
'-x,-y,-z'
'-x,y,-z'
'x,-y,z'
loop_
_atom_site_label
_atom_site_fract_x
_atom_site_fract_y
_atom_site_fract_z
Cd1 0.0000 0.0000 0.0000
Cd2 0.0000 0.5000 0.5000
Pt1 0.5000 0.0000 0.5000
Rh1 0.5000 0.5000 0.0000
```

Formation energy from the elements: -87 meV per atom
Energy: -4.4613 eV/atom
Fermi-level density of states: 2.3 states/eV/cell

Record 11
Material: Cd2PtRh
Method: DFT, PBEsol
State: relaxed

CIF file:
```
data_Cd2PtRh
_chemical_formula_sum 'Cd4 Pt2 Rh2'
_symmetry_space_group_name_H-M 'I 4/m m m'
_symmetry_Int_Tables_number 139
_symmetry_space_group_name_Hall '-I 4 2'
_cell_length_a 4.2392
_cell_length_b 4.2392
_cell_length_c 7.2496
_cell_angle_alpha 90.00
_cell_angle_beta 90.00
_cell_angle_gamma 90.00
loop_
_atom_site_label
_atom_site_fract_x
_atom_site_fract_y
_atom_site_fract_z
Cd1 0.0000 0.5000 0.2500
Pt1 0.0000 0.0000 0.0000
Rh1 0.0000 0.0000 0.5000
```

Formation energy from the elements: -172 meV per atom
Energy: -4.5457 eV/atom
Fermi-level density of states: 3.4 states/eV/cell

Record 12
Material: CdPtRh2
Method: DFT, PBEsol
State: relaxed

CIF file:
```
data_CdPtRh2
_chemical_formula_sum 'Cd2 Pt2 Rh4'
_symmetry_space_group_name_H-M 'C 1 2/m 1'
_symmetry_Int_Tables_number 12
_cell_length_a 5.4234
_cell_length_b 9.3126
_cell_length_c 2.7250
_cell_angle_alpha 90.00
_cell_angle_beta 118.19
_cell_angle_gamma 90.00
loop_
_symmetry_equiv_pos_as_xyz
'x,y,z'
'-x,-y,-z'
'-x,y,-z'
'x,-y,z'
'x+1/2,y+1/2,z'
'-x+1/2,-y+1/2,-z'
'-x+1/2,y+1/2,-z'
'x+1/2,-y+1/2,z'
loop_
_atom_site_label
_atom_site_fract_x
_atom_site_fract_y
_atom_site_fract_z
Cd1 0.0000 0.0000 0.0000
Pt1 0.0000 0.5000 0.0000
Rh1 0.2500 0.2500 0.5000
```

Formation energy from the elements: 103 meV per atom
Energy: -6.0064 eV/atom
Fermi-level density of states: 9.0 states/eV/cell

Record 13
Material: CdPtRh2
Method: DFT, PBEsol
State: relaxed

CIF file:
```
data_CdPtRh2
_chemical_formula_sum 'Cd2 Pt2 Rh4'
_symmetry_space_group_name_H-M 'C m m m'
_symmetry_Int_Tables_number 65
_symmetry_space_group_name_Hall '-C 2 2'
_cell_length_a 5.5912
_cell_length_b 7.7477
_cell_length_c 2.7544
_cell_angle_alpha 90.00
_cell_angle_beta 90.00
_cell_angle_gamma 90.00
loop_
_atom_site_label
_atom_site_fract_x
_atom_site_fract_y
_atom_site_fract_z
Cd1 0.0000 0.0000 0.0000
Pt1 0.0000 0.5000 0.0000
Rh1 0.2500 0.2500 0.5000
```

Formation energy from the elements: -9 meV per atom
Energy: -6.1181 eV/atom
Fermi-level density of states: 8.0 states/eV/cell

Record 14
Material: CdPt2Rh
Method: DFT, PBEsol
State: relaxed

CIF file:
```
data_CdPt2Rh
_chemical_formula_sum 'Cd2 Pt4 Rh2'
_symmetry_space_group_name_H-M 'C m m m'
_symmetry_Int_Tables_number 65
_symmetry_space_group_name_Hall '-C 2 2'
_cell_length_a 5.5874
_cell_length_b 7.8630
_cell_length_c 2.7830
_cell_angle_alpha 90.00
_cell_angle_beta 90.00
_cell_angle_gamma 90.00
loop_
_atom_site_label
_atom_site_fract_x
_atom_site_fract_y
_atom_site_fract_z
Cd1 0.0000 0.0000 0.0000
Pt1 0.2500 0.2500 0.5000
Rh1 0.0000 0.5000 0.0000
```

Formation energy from the elements: -131 meV per atom
Energy: -5.9463 eV/atom
Fermi-level density of states: 6.6 states/eV/cell

Record 15
Material: CdPt2Rh
Method: DFT, PBEsol
State: relaxed

CIF file:
```
data_CdPt2Rh
_chemical_formula_sum 'Cd3 Pt6 Rh3'
_symmetry_space_group_name_H-M 'R 3 m'
_symmetry_Int_Tables_number 160
_symmetry_space_group_name_Hall 'R 3 -2"'
_cell_length_a 2.7952
_cell_length_b 2.7952
_cell_length_c 27.2393
_cell_angle_alpha 90.00
_cell_angle_beta 90.00
_cell_angle_gamma 120.00
loop_
_atom_site_label
_atom_site_fract_x
_atom_site_fract_y
_atom_site_fract_z
Cd1 0.0000 0.0000 0.0000
Pt1 0.0000 0.0000 0.5036
Pt2 0.0000 0.0000 0.7533
Rh1 0.0000 0.0000 0.2492
```

Formation energy from the elements: -8 meV per atom
Energy: -5.8239 eV/atom
Fermi-level density of states: 17.8 states/eV/cell

Record 16
Material: Cd2PtRh
Method: DFT, PBEsol
State: relaxed

CIF file:
```
data_Cd2PtRh
_chemical_formula_sum 'Cd2 Pt1 Rh1'
_symmetry_space_group_name_H-M 'P m m m'
_symmetry_Int_Tables_number 47
_cell_length_a 2.9728
_cell_length_b 3.6738
_cell_length_c 5.9697
_cell_angle_alpha 90.00
_cell_angle_beta 90.00
_cell_angle_gamma 90.00
loop_
_symmetry_equiv_pos_as_xyz
'x,y,z'
'-x,-y,-z'
'-x,-y,z'
'x,y,-z'
'x,-y,-z'
'-x,y,z'
'-x,y,-z'
'x,-y,z'
loop_
_atom_site_label
_atom_site_fract_x
_atom_site_fract_y
_atom_site_fract_z
Cd1 0.0000 0.0000 0.2455
Pt1 0.5000 0.5000 0.5000
Rh1 0.5000 0.5000 0.0000
```

Formation energy from the elements: -162 meV per atom
Energy: -4.5362 eV/atom
Fermi-level density of states: 2.4 states/eV/cell

Record 17
Material: CdPt2Rh
Method: DFT, PBEsol
State: relaxed

CIF file:
```
data_CdPt2Rh
_chemical_formula_sum 'Cd2 Pt4 Rh2'
_symmetry_space_group_name_H-M 'C 1 2/m 1'
_symmetry_Int_Tables_number 12
_cell_length_a 9.2569
_cell_length_b 2.7886
_cell_length_c 4.8305
_cell_angle_alpha 90.00
_cell_angle_beta 99.98
_cell_angle_gamma 90.00
loop_
_symmetry_equiv_pos_as_xyz
'x,y,z'
'-x,-y,-z'
'-x,y,-z'
'x,-y,z'
'x+1/2,y+1/2,z'
'-x+1/2,-y+1/2,-z'
'-x+1/2,y+1/2,-z'
'x+1/2,-y+1/2,z'
loop_
_atom_site_label
_atom_site_fract_x
_atom_site_fract_y
_atom_site_fract_z
Cd1 0.0000 0.0000 0.0000
Pt1 0.2460 0.0000 0.7398
Rh1 0.0000 0.5000 0.5000
```

Formation energy from the elements: -81 meV per atom
Energy: -5.8969 eV/atom
Fermi-level density of states: 8.7 states/eV/cell

Record 18
Material: CdRuPt2
Method: DFT, PBEsol
State: relaxed

CIF file:
```
data_CdRuPt2
_chemical_formula_sum 'Cd3 Ru3 Pt6'
_symmetry_space_group_name_H-M 'R -3 m'
_symmetry_Int_Tables_number 166
_symmetry_space_group_name_Hall '-R 3 2"'
_cell_length_a 2.7856
_cell_length_b 2.7856
_cell_length_c 27.3262
_cell_angle_alpha 90.00
_cell_angle_beta 90.00
_cell_angle_gamma 120.00
loop_
_atom_site_label
_atom_site_fract_x
_atom_site_fract_y
_atom_site_fract_z
Cd1 0.0000 0.0000 0.0000
Ru1 0.0000 0.0000 0.5000
Pt1 0.0000 0.0000 0.2454
```

Formation energy from the elements: -4 meV per atom
Energy: -6.3279 eV/atom
Fermi-level density of states: 9.1 states/eV/cell

Record 19
Material: CdRu2Pt
Method: DFT, PBEsol
State: relaxed

CIF file:
```
data_CdRu2Pt
_chemical_formula_sum 'Cd1 Ru2 Pt1'
_symmetry_space_group_name_H-M 'P 4/m m m'
_symmetry_Int_Tables_number 123
_symmetry_space_group_name_Hall '-P 4 2'
_cell_length_a 3.8268
_cell_length_b 3.8268
_cell_length_c 4.0871
_cell_angle_alpha 90.00
_cell_angle_beta 90.00
_cell_angle_gamma 90.00
loop_
_atom_site_label
_atom_site_fract_x
_atom_site_fract_y
_atom_site_fract_z
Cd1 0.0000 0.0000 0.0000
Ru1 0.0000 0.5000 0.5000
Pt1 0.5000 0.5000 0.0000
```

Formation energy from the elements: 352 meV per atom
Energy: -6.7741 eV/atom
Fermi-level density of states: 5.9 states/eV/cell

Record 20
Material: CdRuPt2
Method: DFT, PBEsol
State: relaxed

CIF file:
```
data_CdRuPt2
_chemical_formula_sum 'Cd1 Ru1 Pt2'
_symmetry_space_group_name_H-M 'P 4/m m m'
_symmetry_Int_Tables_number 123
_symmetry_space_group_name_Hall '-P 4 2'
_cell_length_a 2.7659
_cell_length_b 2.7659
_cell_length_c 8.0193
_cell_angle_alpha 90.00
_cell_angle_beta 90.00
_cell_angle_gamma 90.00
loop_
_atom_site_label
_atom_site_fract_x
_atom_site_fract_y
_atom_site_fract_z
Cd1 0.0000 0.0000 0.0000
Ru1 0.0000 0.0000 0.5000
Pt1 0.5000 0.5000 0.2695
```

Formation energy from the elements: -82 meV per atom
Energy: -6.4058 eV/atom
Fermi-level density of states: 3.5 states/eV/cell